Record 1
A relaxed TlZn2AgF6 crystal, computed with GGA-PBE.

a b c (Å): 7.856 7.856 6.895
angles (deg): 105.06 105.06 100.78
Element x y z (fractional)
1 Tl 0.111 0.889 0.750
2 Tl 0.889 0.111 0.250
3 Zn 0.291 0.434 0.822
4 Zn 0.434 0.291 0.322
5 Zn 0.566 0.709 0.678
6 Zn 0.709 0.566 0.178
7 Ag 0.206 0.794 0.250
8 Ag 0.794 0.206 0.750
9 F 0.093 0.211 0.684
10 F 0.164 0.610 0.915
11 F 0.211 0.093 0.184
12 F 0.357 0.444 0.555
13 F 0.390 0.836 0.585
14 F 0.444 0.357 0.055
15 F 0.556 0.643 0.945
16 F 0.610 0.164 0.415
17 F 0.643 0.556 0.445
18 F 0.789 0.907 0.816
19 F 0.836 0.390 0.085
20 F 0.907 0.789 0.316

* formation energy from raw total energies: -183.72 kJ per mole of atoms
* symmetry: No. 15
* theoretical density: 4.8 g cm⁻³
* calculated total energy: -3.80 eV/atom

Record 2
A relaxed Tl3ZnAg2F9 crystal, computed with GGA-PBE.

a b c (Å): 6.151 6.151 7.552
angles (deg): 90.00 90.00 120.00
Element x y z (fractional)
1 Tl 0.000 0.000 0.000
2 Tl 0.333 0.667 0.663
3 Tl 0.667 0.333 0.337
4 Zn 0.000 0.000 0.500
5 Ag 0.333 0.667 0.174
6 Ag 0.667 0.333 0.826
7 F 0.000 0.500 0.000
8 F 0.158 0.315 0.344
9 F 0.158 0.842 0.344
10 F 0.315 0.158 0.656
11 F 0.500 0.000 0.000
12 F 0.500 0.500 0.000
13 F 0.685 0.842 0.344
14 F 0.842 0.158 0.656
15 F 0.842 0.685 0.656

* formation energy from raw total energies: -160.41 kJ per mole of atoms
* symmetry: No. 164
* theoretical density: 7.1 g cm⁻³
* calculated total energy: -3.72 eV/atom

Record 3
A relaxed TlZnAgF6 crystal, computed with GGA-PBE.

a b c (Å): 5.733 5.733 10.028
angles (deg): 90.00 90.00 120.00
Element x y z (fractional)
1 Tl 0.333 0.667 0.250
2 Tl 0.667 0.333 0.750
3 Zn 0.333 0.667 0.750
4 Zn 0.667 0.333 0.250
5 Ag 0.000 0.000 0.000
6 Ag 0.000 0.000 0.500
7 F 0.019 0.372 0.639
8 F 0.019 0.646 0.861
9 F 0.354 0.372 0.861
10 F 0.354 0.981 0.639
11 F 0.372 0.019 0.139
12 F 0.372 0.354 0.361
13 F 0.628 0.646 0.639
14 F 0.628 0.981 0.861
15 F 0.646 0.019 0.361
16 F 0.646 0.628 0.139
17 F 0.981 0.354 0.139
18 F 0.981 0.628 0.361

* formation energy from raw total energies: -173.58 kJ per mole of atoms
* symmetry: No. 163
* theoretical density: 5.7 g cm⁻³
* calculated total energy: -3.77 eV/atom

Record 4
A relaxed Tl2ZnAgF6 crystal, computed with GGA-PBE.

a b c (Å): 6.224 6.224 6.224
angles (deg): 122.19 122.19 86.24
Element x y z (fractional)
1 Tl 0.250 0.750 0.500
2 Tl 0.750 0.250 0.500
3 Zn 0.000 0.000 0.000
4 Ag 0.500 0.500 0.000
5 F 0.218 0.218 0.000
6 F 0.246 0.246 0.492
7 F 0.246 0.754 0.000
8 F 0.754 0.246 0.000
9 F 0.754 0.754 0.508
10 F 0.782 0.782 0.000

* formation energy from raw total energies: -170.25 kJ per mole of atoms
* symmetry: No. 139
* theoretical density: 7.0 g cm⁻³
* calculated total energy: -3.77 eV/atom

Record 5
A relaxed TlZnAg2F5 crystal, computed with GGA-PBE.

a b c (Å): 6.855 6.855 6.855
angles (deg): 145.13 127.17 64.87
Element x y z (fractional)
1 Tl 0.000 0.000 0.000
2 Zn 0.500 0.500 0.000
3 Ag 0.281 0.781 0.500
4 Ag 0.719 0.219 0.500
5 F 0.137 0.372 0.765
6 F 0.393 0.628 0.765
7 F 0.500 0.000 0.500
8 F 0.607 0.372 0.235
9 F 0.863 0.628 0.235

* formation energy from raw total energies: -153.68 kJ per mole of atoms
* symmetry: No. 71
* theoretical density: 6.7 g cm⁻³
* calculated total energy: -3.67 eV/atom

Record 6
A relaxed ZrTlAgF6 crystal, computed with GGA-PBE.

a b c (Å): 5.486 6.201 6.269
angles (deg): 60.52 89.72 89.21
Element x y z (fractional)
1 Zr 0.000 0.000 0.000
2 Tl 0.499 0.333 0.335
3 Ag 0.998 0.667 0.666
4 F 0.199 0.285 0.734
5 F 0.208 0.992 0.273
6 F 0.219 0.738 0.984
7 F 0.780 0.275 0.988
8 F 0.796 0.733 0.274
9 F 0.798 0.981 0.733

* formation energy from raw total energies: -260.72 kJ per mole of atoms
* symmetry: No. 1
* theoretical density: 4.6 g cm⁻³
* calculated total energy: -5.48 eV/atom

Record 7
A relaxed ZrTlAg2F8 crystal, computed with GGA-PBE.

a b c (Å): 5.404 5.404 8.035
angles (deg): 97.46 97.46 85.17
Element x y z (fractional)
1 Zr 0.000 0.000 0.000
2 Tl 0.000 0.000 0.500
3 Ag 0.462 0.462 0.273
4 Ag 0.538 0.538 0.727
5 F 0.182 0.799 0.814
6 F 0.201 0.818 0.186
7 F 0.262 0.262 0.038
8 F 0.331 0.331 0.513
9 F 0.669 0.669 0.487
10 F 0.738 0.738 0.962
11 F 0.799 0.182 0.814
12 F 0.818 0.201 0.186

* formation energy from raw total energies: -219.99 kJ per mole of atoms
* symmetry: No. 12
* theoretical density: 4.8 g cm⁻³
* calculated total energy: -4.91 eV/atom

Record 8
A relaxed TmAg3F7 crystal, computed with GGA-PBE.

a b c (Å): 5.620 5.620 6.513
angles (deg): 112.91 112.91 87.40
Element x y z (fractional)
1 Tm 0.000 0.000 0.000
2 Ag 0.178 0.712 0.467
3 Ag 0.453 0.453 0.961
4 Ag 0.712 0.178 0.467
5 F 0.048 0.638 0.729
6 F 0.120 0.120 0.755
7 F 0.298 0.831 0.225
8 F 0.320 0.320 0.264
9 F 0.638 0.048 0.729
10 F 0.765 0.765 0.064
11 F 0.831 0.298 0.225

* formation energy from raw total energies: -208.59 kJ per mole of atoms
* symmetry: No. 8
* theoretical density: 6.0 g cm⁻³
* calculated total energy: -4.54 eV/atom

Record 9
A relaxed TmAg2F8 crystal, computed with GGA-PBE.

a b c (Å): 6.934 6.934 4.197
angles (deg): 90.00 90.00 120.00
Element x y z (fractional)
1 Tm 0.000 0.000 0.000
2 Ag 0.333 0.667 0.742
3 Ag 0.667 0.333 0.258
4 F 0.153 0.308 0.740
5 F 0.155 0.847 0.740
6 F 0.308 0.155 0.260
7 F 0.333 0.667 0.241
8 F 0.667 0.333 0.759
9 F 0.692 0.845 0.740
10 F 0.845 0.153 0.260
11 F 0.847 0.692 0.260

* formation energy from raw total energies: -195.50 kJ per mole of atoms
* symmetry: No. 147
* theoretical density: 5.1 g cm⁻³
* calculated total energy: -4.31 eV/atom

Record 10
A relaxed TmAg2F6 crystal, computed with GGA-PBE.

a b c (Å): 7.016 7.016 7.016
angles (deg): 149.12 133.39 56.96
Element x y z (fractional)
1 Tm 0.000 0.000 0.000
2 Ag 0.333 0.333 0.000
3 Ag 0.667 0.667 0.000
4 F 0.094 0.850 0.245
5 F 0.221 0.500 0.721
6 F 0.395 0.150 0.245
7 F 0.605 0.850 0.755
8 F 0.779 0.500 0.279
9 F 0.906 0.150 0.755

* formation energy from raw total energies: -233.88 kJ per mole of atoms
* symmetry: No. 71
* theoretical density: 6.5 g cm⁻³
* calculated total energy: -4.80 eV/atom
* energy above the lowest structure with this stoichiometry: 0.00 eV/f.u.

Record 11
A relaxed Tm2AgF8 crystal, computed with GGA-PBE.

a b c (Å): 5.933 5.933 4.446
angles (deg): 98.96 98.96 110.94
Element x y z (fractional)
1 Tm 0.188 0.812 0.000
2 Tm 0.812 0.188 0.000
3 Ag 0.500 0.500 0.500
4 F 0.135 0.135 0.291
5 F 0.154 0.430 0.893
6 F 0.281 0.719 0.500
7 F 0.430 0.154 0.893
8 F 0.570 0.846 0.107
9 F 0.719 0.281 0.500
10 F 0.846 0.570 0.107
11 F 0.865 0.865 0.709

* formation energy from raw total energies: -313.29 kJ per mole of atoms
* symmetry: No. 12
* theoretical density: 7.1 g cm⁻³
* calculated total energy: -5.68 eV/atom

Record 12
A relaxed TmAgF5 crystal, computed with GGA-PBE.

a b c (Å): 5.850 5.850 8.371
angles (deg): 111.01 111.01 73.42
Element x y z (fractional)
1 Tm 0.000 0.000 0.000
2 Tm 0.000 0.000 0.500
3 Ag 0.493 0.507 0.750
4 Ag 0.507 0.493 0.250
5 F 0.053 0.947 0.750
6 F 0.238 0.272 0.630
7 F 0.272 0.238 0.130
8 F 0.295 0.688 0.023
9 F 0.312 0.705 0.477
10 F 0.688 0.295 0.523
11 F 0.705 0.312 0.977
12 F 0.728 0.762 0.870
13 F 0.762 0.728 0.370
14 F 0.947 0.053 0.250

* formation energy from raw total energies: -268.86 kJ per mole of atoms
* symmetry: No. 15
* theoretical density: 5.0 g cm⁻³
* calculated total energy: -5.17 eV/atom

Record 13
A relaxed TmAg2F6 crystal, computed with GGA-PBE.

a b c (Å): 6.471 6.471 7.187
angles (deg): 123.19 123.19 35.61
Element x y z (fractional)
1 Tm 0.000 0.000 0.000
2 Ag 0.176 0.176 0.635
3 Ag 0.824 0.824 0.365
4 F 0.023 0.023 0.711
5 F 0.200 0.200 0.324
6 F 0.390 0.390 0.967
7 F 0.610 0.610 0.033
8 F 0.800 0.800 0.676
9 F 0.977 0.977 0.289

* formation energy from raw total energies: -231.12 kJ per mole of atoms
* symmetry: No. 12
* theoretical density: 5.8 g cm⁻³
* calculated total energy: -4.77 eV/atom
* energy above the lowest structure with this stoichiometry: 0.26 eV/f.u.

Record 14
A relaxed TmAg6F12 crystal, computed with GGA-PBE.

a b c (Å): 6.891 6.891 6.891
angles (deg): 100.72 100.72 100.72
Element x y z (fractional)
1 Tm 0.000 0.000 0.000
2 Ag 0.143 0.307 0.604
3 Ag 0.307 0.604 0.143
4 Ag 0.396 0.857 0.693
5 Ag 0.604 0.143 0.307
6 Ag 0.693 0.396 0.857
7 Ag 0.857 0.693 0.396
8 F 0.021 0.914 0.691
9 F 0.086 0.309 0.979
10 F 0.172 0.631 0.417
11 F 0.309 0.979 0.086
12 F 0.369 0.583 0.828
13 F 0.417 0.172 0.631
14 F 0.583 0.828 0.369
15 F 0.631 0.417 0.172
16 F 0.691 0.021 0.914
17 F 0.828 0.369 0.583
18 F 0.914 0.691 0.021
19 F 0.979 0.086 0.309

* formation energy from raw total energies: -166.93 kJ per mole of atoms
* symmetry: No. 148
* theoretical density: 5.6 g cm⁻³
* calculated total energy: -4.05 eV/atom

Record 15
A relaxed TmAg4F7 crystal, computed with GGA-PBE.

a b c (Å): 8.705 8.705 5.764
angles (deg): 99.01 99.01 27.90
Element x y z (fractional)
1 Tm 0.000 0.000 0.000
2 Ag 0.277 0.277 0.774
3 Ag 0.406 0.406 0.470
4 Ag 0.594 0.594 0.530
5 Ag 0.723 0.723 0.226
6 F 0.072 0.072 0.728
7 F 0.105 0.105 0.265
8 F 0.275 0.275 0.229
9 F 0.500 0.500 0.000
10 F 0.725 0.725 0.771
11 F 0.895 0.895 0.735
12 F 0.928 0.928 0.272

* formation energy from raw total energies: -189.93 kJ per mole of atoms
* symmetry: No. 12
* theoretical density: 6.0 g cm⁻³
* calculated total energy: -4.38 eV/atom

Record 16
A relaxed TmAgF crystal, computed with GGA-PBE.

a b c (Å): 14.082 3.328 3.328
angles (deg): 60.00 90.00 90.00
Element x y z (fractional)
1 Tm 0.167 0.000 0.000
2 Tm 0.833 0.000 0.000
3 Ag 0.000 0.667 0.667
4 Ag 0.500 0.677 0.677
5 F 0.261 0.667 0.667
6 F 0.739 0.667 0.667

* formation energy from raw total energies: -137.82 kJ per mole of atoms
* symmetry: No. 38
* theoretical density: 7.3 g cm⁻³
* calculated total energy: -4.49 eV/atom

Record 17
A relaxed TmAgF4 crystal, computed with GGA-PBE.

a b c (Å): 5.512 5.512 3.513
angles (deg): 90.00 90.00 92.87
Element x y z (fractional)
1 Tm 0.000 0.000 0.000
2 Ag 0.500 0.500 0.500
3 F 0.165 0.835 0.500
4 F 0.278 0.278 0.000
5 F 0.722 0.722 0.000
6 F 0.835 0.165 0.500

* formation energy from raw total energies: -293.02 kJ per mole of atoms
* symmetry: No. 65
* theoretical density: 5.5 g cm⁻³
* calculated total energy: -5.50 eV/atom
* energy above the lowest structure with this stoichiometry: 0.30 eV/f.u.

Record 18
A relaxed TmAgF4 crystal, computed with GGA-PBE.

a b c (Å): 3.794 3.796 5.981
angles (deg): 90.00 90.10 90.00
Element x y z (fractional)
1 Tm 0.000 0.000 0.000
2 Ag 0.500 0.500 0.500
3 F 0.001 0.500 0.208
4 F 0.499 0.000 0.792
5 F 0.501 0.000 0.208
6 F 0.999 0.500 0.792

* formation energy from raw total energies: -297.83 kJ per mole of atoms
* symmetry: No. 10
* theoretical density: 6.8 g cm⁻³
* calculated total energy: -5.55 eV/atom
* energy above the lowest structure with this stoichiometry: 0.00 eV/f.u.